{
  "formula": "V3IF",
  "functional": "PBE+U",
  "state": "optimized geometry",
  "rho_g_cm3": 3.33,
  "n_ef_per_ev_cell": 4.13,
  "relative_energy_ev_per_atom": 0.928,
  "space_group": "Pm-3m, No. 221",
  "lattice": [[5.3001, 0.0000, 0.0000], [0.0000, 5.3001, 0.0000], [0.0000, 0.0000, 5.3001]],
  "species": ["V", "V", "V", "I", "F"],
  "frac_coords": [[0.0000, 0.0000, 0.5000], [0.0000, 0.5000, 0.0000], [0.5000, 0.0000, 0.0000], [0.0000, 0.0000, 0.0000], [0.5000, 0.5000, 0.5000]]
}